Density functional theory data (PBE+U) for a relaxed VAgBi2O6 crystal.

The spin magnetization comes out at 0.00 μB/atom. Its final energy is -60.4 eV per cell.

Cell and atoms, written as CIF:
```
data_VAgBi2O6
_symmetry_space_group_name_H-M 'P 1'
_symmetry_Int_Tables_number 1
_symmetry_space_group_name_Hall 'P 1'
_cell_length_a 5.846
_cell_length_b 5.846
_cell_length_c 6.052
_cell_angle_alpha 61.11
_cell_angle_beta 61.11
_cell_angle_gamma 59.99
loop_
_atom_site_label
_atom_site_type_symbol
_atom_site_fract_x
_atom_site_fract_y
_atom_site_fract_z
O1 O 0.553 0.222 0.215
V1 V 0.314 0.314 0.057
O2 O 0.223 0.010 0.215
O3 O 0.010 0.553 0.215
Bi1 Bi 0.523 0.523 0.431
O4 O 0.401 0.682 0.756
Ag1 Ag 0.771 0.771 0.687
Bi2 Bi 0.023 0.023 0.930
O5 O 0.161 0.401 0.756
O6 O 0.682 0.161 0.756
```